# 1
Density functional theory data (GGA-PBE) for a relaxed Pm2YCrN4 crystal.

Summary:
Symmetry ... No. 63
Formation energy without anion corrections ... -1.053 eV per atom

Cell lengths 6.0554, 6.0554, 12.0829 Å; angles 90.00, 90.00, 147.11 degrees
Closest atoms and distances in Å follow each position.
Element x y z (fractional)
Pm1 0.1326 0.8674 0.5426  6 N 2.36-2.63
Pm2 0.1326 0.8674 0.9574  6 N 2.36-2.63
Pm3 0.8674 0.1326 0.0426  6 N 2.36-2.63
Pm4 0.8674 0.1326 0.4574  6 N 2.36-2.63
Y1 0.3858 0.6142 0.7500  6 N 2.55-2.79
Y2 0.6142 0.3858 0.2500  6 N 2.55-2.79
Cr1 0.3396 0.6604 0.2500  4 N 1.87-1.98
Cr2 0.6604 0.3396 0.7500  4 N 1.87-1.98
N1 0.0756 0.9244 0.7500  2 Cr 1.98
N2 0.2280 0.7720 0.1383  1 Cr 1.87
N3 0.2280 0.7720 0.3617  1 Cr 1.87
N4 0.5000 0.5000 0.0000  4 Pm 2.36
N5 0.5000 0.5000 0.5000  4 Pm 2.36
N6 0.7720 0.2280 0.6383  1 Cr 1.87
N7 0.7720 0.2280 0.8617  1 Cr 1.87
N8 0.9244 0.0756 0.2500  2 Cr 1.98

# 2
Density functional theory data (GGA-PBE) for a relaxed SrTbBr6 crystal.

Summary:
Symmetry ... No. 2
Formation energy without anion corrections ... -1.591 eV per atom

Cell lengths 7.2660, 7.3627, 7.3749 Å; angles 66.99, 63.38, 62.07 degrees
Closest atoms and distances in Å follow each position.
Element x y z (fractional)
Sr1 0.0000 0.0000 0.0000  6 Br 3.05-3.19
Tb1 0.5000 0.5000 0.5000  6 Br 2.78-2.88
Br1 0.0809 0.7414 0.7149  1 Tb 2.78, 1 Sr 3.06
Br2 0.3093 0.5595 0.2031  1 Tb 2.88, 1 Br 3.12, 1 Sr 3.19
Br3 0.3982 0.1330 0.7224  1 Tb 2.80, 1 Sr 3.05
Br4 0.6018 0.8670 0.2776  1 Tb 2.80, 1 Sr 3.05
Br5 0.6907 0.4405 0.7969  1 Tb 2.88, 1 Br 3.12, 1 Sr 3.19
Br6 0.9191 0.2586 0.2851  1 Tb 2.78, 1 Sr 3.06

# 3
Density functional theory data (GGA-PBE) for a relaxed Hf2GaPd crystal.

Summary:
Energy relative to the elements ... 7.8 kJ per mole of atoms
Symmetry ... No. 122

Cell lengths 9.9565, 9.9565, 9.9565 Å; angles 155.94, 155.94, 34.28 degrees
Closest atoms and distances in Å follow each position.
Element x y z (fractional)
Hf1 0.1177 0.6250 0.9927  2 Ga 2.78, 2 Pd 2.81, 4 Hf 2.89-2.98
Hf2 0.3750 0.3677 0.4927  2 Ga 2.78, 2 Pd 2.81, 4 Hf 2.89-2.98
Hf3 0.6323 0.1250 0.0073  2 Ga 2.78, 2 Pd 2.81, 4 Hf 2.89-2.98
Hf4 0.8750 0.8823 0.5073  2 Ga 2.78, 2 Pd 2.81, 4 Hf 2.89-2.98
Ga1 0.0000 0.0000 0.0000  4 Hf 2.78, 4 Pd 2.93
Ga2 0.7500 0.2500 0.5000  4 Hf 2.78, 4 Pd 2.93
Pd1 0.2500 0.7500 0.5000  4 Hf 2.81, 4 Ga 2.93
Pd2 0.5000 0.5000 0.0000  4 Hf 2.81, 4 Ga 2.93

# 4
Density functional theory data (GGA-PBE) for a relaxed NaPbBr2 crystal.

Summary:
Energy above the most stable polymorph in this dataset ... 121 meV/atom
Symmetry ... No. 122
Formation energy without anion corrections ... -0.790 eV per atom

Cell lengths 7.0064, 7.0064, 7.0064 Å; angles 109.46, 109.46, 109.49 degrees
Closest atoms and distances in Å follow each position.
Element x y z (fractional)
Na1 0.0000 0.0000 0.0000  4 Br 2.92
Na2 0.7500 0.2500 0.5000  4 Br 2.92
Pb1 0.2500 0.7500 0.5000  4 Br 3.16
Pb2 0.5000 0.5000 0.0000  4 Br 3.16
Br1 0.1028 0.6250 0.9778  2 Na 2.92, 2 Pb 3.16
Br2 0.3750 0.3528 0.4778  2 Na 2.92, 2 Pb 3.16
Br3 0.6472 0.1250 0.0222  2 Na 2.92, 2 Pb 3.16
Br4 0.8750 0.8972 0.5222  2 Na 2.92, 2 Pb 3.16

# 5
Density functional theory data (GGA-PBE) for a relaxed Si2AgPt crystal.

Summary:
Energy above the most stable polymorph in this dataset ... 246 meV/atom
Symmetry ... No. 225
Formation energy without anion corrections ... 0.122 eV per atom

Cell lengths 4.4645, 4.4645, 4.4645 Å; angles 60.00, 60.00, 60.00 degrees
Closest atoms and distances in Å follow each position.
Element x y z (fractional)
Si1 0.2500 0.2500 0.2500  4 Pt 2.73, 4 Ag 2.73
Si2 0.7500 0.7500 0.7500  4 Pt 2.73, 4 Ag 2.73
Ag1 0.0000 0.0000 0.0000  8 Si 2.73
Pt1 0.5000 0.5000 0.5000  8 Si 2.73

# 6
Density functional theory data (GGA-PBE) for a relaxed Nd2GaPt7 crystal.

Summary:
Energy relative to the elements ... -67.9 kJ per mole of atoms
Symmetry ... No. 115

Cell lengths 3.9894, 3.9894, 12.4559 Å; angles 90.00, 90.00, 90.00 degrees
Closest atoms and distances in Å follow each position.
Element x y z (fractional)
Nd1 0.0000 0.5000 0.2337  8 Pt 3.00-3.22
Nd2 0.5000 0.0000 0.7663  8 Pt 3.00-3.22
Ga1 0.0000 0.0000 0.5000  8 Pt 2.67-2.82
Pt1 0.0000 0.0000 0.0000  8 Pt 2.75-2.82
Pt2 0.0000 0.5000 0.6420  3 Pt 2.57-2.67, 2 Ga 2.67
Pt3 0.0000 0.5000 0.8484  5 Pt 2.57-2.75
Pt4 0.5000 0.0000 0.1516  5 Pt 2.57-2.75
Pt5 0.5000 0.0000 0.3580  3 Pt 2.57-2.67, 2 Ga 2.67
Pt6 0.5000 0.5000 0.0000  8 Pt 2.75-2.82
Pt7 0.5000 0.5000 0.5000  4 Pt 2.67, 4 Ga 2.82

| no. | density of states at the Fermi level (states/eV per cell) | VASP energy (eV/atom) | spin magnetization (μB per cell) |
| --- | --- | --- | --- |
| 1 | 6.08 | -8.414 | 4.31 |
| 2 | 7.55 | -3.634 | 1.01 |
| 3 | 6.05 | -6.951 | 0.00 |
| 4 | 0.60 | -2.883 | 2.00 |
| 5 | 2.58 | -4.812 | 0.00 |
| 6 | 8.34 | -6.189 | 0.00 |